# 1
Entry from Alexandria: a crystal of Mg3Ir relaxed with PBEsol (SCAN).

Results
Space group   Pm-3m
ΔH_f (0 K)   0.082 eV per atom

abc: 4.9935 4.9935 4.9935
angles: 90.00 90.00 90.00
Closest atoms and distances in Å follow each position.
Sites, in units of the cell vectors:
Ir1 0.0000 0.0000 0.0000  6 Mg 2.50
Mg1 0.0000 0.0000 0.5000  2 Ir 2.50
Mg2 0.0000 0.5000 0.0000  2 Ir 2.50
Mg3 0.5000 0.0000 0.0000  2 Ir 2.50



# 2
Entry from Alexandria: a crystal of Mg3Ir relaxed with PBEsol (SCAN).

Results
Space group   Immm
ΔH_f (0 K)   -0.341 eV per atom

abc: 3.2488 4.5638 5.4216
angles: 114.89 107.43 90.00
Closest atoms and distances in Å follow each position.
Sites, in units of the cell vectors:
Mg1 0.2746 0.7746 0.5492  2 Ir 2.65, 4 Mg 2.84
Mg2 0.5000 0.5000 0.0000  4 Ir 2.80, 8 Mg 3.02-3.10
Mg3 0.7254 0.2254 0.4508  2 Ir 2.65, 4 Mg 2.84
Ir1 0.0000 0.0000 0.0000  8 Mg 2.65-2.80



# 3
Entry from Alexandria: a crystal of Mg3Ir relaxed with PBEsol (SCAN).

Results
Space group   R-3m
ΔH_f (0 K)   -0.143 eV per atom

abc: 2.9360 5.2642 5.2642
angles: 116.63 100.71 100.71
Closest atoms and distances in Å follow each position.
Sites, in units of the cell vectors:
Ir1 0.0000 0.0000 0.0000  6 Mg 2.77, 2 Ir 2.94
Mg1 0.0000 0.5000 0.5000  6 Mg 2.77-2.94, 2 Ir 2.77
Mg2 0.5000 0.0000 0.5000  2 Ir 2.77, 6 Mg 2.77-2.94
Mg3 0.5000 0.5000 0.0000  6 Mg 2.77-2.94, 2 Ir 2.77



# 4
Entry from Alexandria: a crystal of Mg3Ir relaxed with PBEsol (SCAN).

Results
Space group   Pmmn
ΔH_f (0 K)   -0.396 eV per atom

abc: 4.6239 5.0270 5.8231
angles: 90.00 90.00 90.00
Closest atoms and distances in Å follow each position.
Sites, in units of the cell vectors:
Mg1 0.5000 0.3654 0.0000  8 Mg 2.75-3.08, 4 Ir 2.82-2.92
Mg2 0.0000 0.1720 0.7523  8 Mg 2.75-3.08, 4 Ir 2.83-2.97
Mg3 0.5000 0.8280 0.7477  8 Mg 2.75-3.08, 4 Ir 2.83-2.97
Mg4 0.0000 0.6346 0.5000  8 Mg 2.75-3.08, 4 Ir 2.82-2.92
Mg5 0.0000 0.1720 0.2477  8 Mg 2.75-3.08, 4 Ir 2.83-2.97
Mg6 0.5000 0.8280 0.2523  8 Mg 2.75-3.08, 4 Ir 2.83-2.97
Ir1 0.0000 0.6881 0.0000  12 Mg 2.82-2.97
Ir2 0.5000 0.3119 0.5000  12 Mg 2.82-2.97



# 5
Entry from Alexandria: a crystal of Mg2Mn2Ir relaxed with PBEsol (SCAN).

Results
Space group   I4/mmm
ΔH_f (0 K)   0.292 eV per atom

abc: 3.0366 3.0366 8.4398
angles: 100.36 100.36 90.00
Closest atoms and distances in Å follow each position.
Sites, in units of the cell vectors:
Ir1 0.0000 0.0000 0.0000  8 Mg 2.70
Mg1 0.6005 0.6005 0.2011  4 Ir 2.70, 4 Mn 2.87
Mg2 0.3995 0.3995 0.7989  4 Ir 2.70, 4 Mn 2.87
Mn1 0.2500 0.7500 0.5000  4 Mn 2.15
Mn2 0.7500 0.2500 0.5000  4 Mn 2.15



# 6
Entry from Alexandria: a crystal of MgMnIr2 relaxed with PBEsol (SCAN).

Results
Space group   P4mm
ΔH_f (0 K)   -0.165 eV per atom

abc: 2.7117 2.7117 7.8083
angles: 90.00 90.00 90.00
Closest atoms and distances in Å follow each position.
Sites, in units of the cell vectors:
Ir1 0.0000 0.0000 0.9947  4 Mn 2.59, 8 Ir 2.70-2.71
Ir2 0.5000 0.5000 0.2372  8 Ir 2.70-2.71, 4 Mg 2.78
Mg1 0.0000 0.0000 0.4955  4 Mg 2.71, 4 Ir 2.78, 4 Mn 2.89
Mn1 0.5000 0.5000 0.7726  4 Ir 2.59, 4 Mn 2.71, 4 Mg 2.89